The following is a GGA-PBE calculation of a relaxed structure of Mn2CdPd5, from the Alexandria database.

```
data_Mn2CdPd5
_chemical_formula_sum 'Mn4 Cd2 Pd10'
_symmetry_space_group_name_H-M 'P b a m'
_symmetry_Int_Tables_number 55
_cell_length_a 5.574
_cell_length_b 11.095
_cell_length_c 4.063
_cell_angle_alpha 90.00
_cell_angle_beta 90.00
_cell_angle_gamma 90.00
loop_
_symmetry_equiv_pos_as_xyz
'x,y,z'
'-x,-y,-z'
'-x,-y,z'
'x,y,-z'
'x+1/2,-y+1/2,-z'
'-x+1/2,y+1/2,z'
'-x+1/2,y+1/2,-z'
'x+1/2,-y+1/2,z'
loop_
_atom_site_label
_atom_site_type_symbol
_atom_site_fract_x
_atom_site_fract_y
_atom_site_fract_z
Mn1 Mn 0.213 0.135 0.000
Cd1 Cd 0.000 0.500 0.500
Pd1 Pd 0.000 0.000 0.500
Pd2 Pd 0.036 0.749 0.500
Pd3 Pd 0.228 0.378 0.000
```

- E: -5.941 eV per atom

The following is a GGA-PBE calculation of a relaxed structure of SbMo2Br, from the Alexandria database.

```
data_SbMo2Br
_chemical_formula_sum 'Sb2 Mo4 Br2'
_symmetry_space_group_name_H-M 'C 1 m 1'
_symmetry_Int_Tables_number 8
_cell_length_a 8.738
_cell_length_b 3.296
_cell_length_c 7.197
_cell_angle_alpha 90.00
_cell_angle_beta 99.03
_cell_angle_gamma 90.00
loop_
_symmetry_equiv_pos_as_xyz
'x,y,z'
'x,-y,z'
'x+1/2,y+1/2,z'
'x+1/2,-y+1/2,z'
loop_
_atom_site_label
_atom_site_type_symbol
_atom_site_fract_x
_atom_site_fract_y
_atom_site_fract_z
Sb1 Sb 0.000 0.000 0.000
Mo1 Mo 0.257 0.500 0.216
Mo2 Mo 0.468 0.000 0.311
Br1 Br 0.205 0.000 0.529
```

- ΔE to the lowest computed polymorph: 0.164 eV per atom

The following is a GGA-PBE calculation of a relaxed structure of Ce2BeCo3As4, from the Alexandria database.

```
data_Ce2BeCo3As4
_chemical_formula_sum 'Ce2 Be1 Co3 As4'
_symmetry_space_group_name_H-M 'P -4 m 2'
_symmetry_Int_Tables_number 115
_cell_length_a 4.141
_cell_length_b 4.141
_cell_length_c 9.340
_cell_angle_alpha 90.00
_cell_angle_beta 90.00
_cell_angle_gamma 90.00
loop_
_symmetry_equiv_pos_as_xyz
'x,y,z'
'y,-x,-z'
'-x,-y,z'
'-y,x,-z'
'-x,y,z'
'-y,-x,-z'
'x,-y,z'
'y,x,-z'
loop_
_atom_site_label
_atom_site_type_symbol
_atom_site_fract_x
_atom_site_fract_y
_atom_site_fract_z
Ce1 Ce 0.000 0.500 0.249
Be1 Be 0.500 0.500 0.000
Co1 Co 0.000 0.000 0.000
Co2 Co 0.000 0.500 0.617
As1 As 0.000 0.000 0.500
As2 As 0.000 0.500 0.868
As3 As 0.500 0.500 0.500
```

- E: -6.269 eV per atom

The following is a GGA-PBE calculation of a relaxed structure of CaMn2Tc, from the Alexandria database.

```
data_CaMn2Tc
_chemical_formula_sum 'Ca3 Mn6 Tc3'
_symmetry_space_group_name_H-M 'R -3 m'
_symmetry_Int_Tables_number 166
_symmetry_space_group_name_Hall '-R 3 2"'
_cell_length_a 4.1739
_cell_length_b 4.1739
_cell_length_c 15.6683
_cell_angle_alpha 90.00
_cell_angle_beta 90.00
_cell_angle_gamma 120.00
loop_
_atom_site_label
_atom_site_type_symbol
_atom_site_fract_x
_atom_site_fract_y
_atom_site_fract_z
Ca1 Ca 0.0000 0.0000 0.0000
Mn1 Mn 0.0000 0.0000 0.1984
Tc1 Tc 0.0000 0.0000 0.5000
```

- ΔE to the lowest computed polymorph: 0.000 eV per atom

The following is a GGA-PBE calculation of a relaxed structure of PaNbC, from the Alexandria database.

```
data_PaNbC
_chemical_formula_sum 'Pa16 Nb16 C16'
_symmetry_space_group_name_H-M 'F d d d'
_symmetry_Int_Tables_number 70
_cell_length_a 7.073
_cell_length_b 9.633
_cell_length_c 11.568
_cell_angle_alpha 90.00
_cell_angle_beta 90.00
_cell_angle_gamma 90.00
loop_
_symmetry_equiv_pos_as_xyz
'x,y,z'
'-x,-y,-z'
'-x+1/4,-y+1/4,z'
'x+1/4,y+1/4,-z'
'x,-y+1/4,-z+1/4'
'-x,y+1/4,z+1/4'
'-x+1/4,y,-z+1/4'
'x+1/4,-y,z+1/4'
'x,y+1/2,z+1/2'
'-x,-y+1/2,-z+1/2'
'-x+1/4,-y+3/4,z+1/2'
'x+1/4,y+3/4,-z+1/2'
'x,-y+3/4,-z+3/4'
'-x,y+3/4,z+3/4'
'-x+1/4,y+1/2,-z+3/4'
'x+1/4,-y+1/2,z+3/4'
'x+1/2,y,z+1/2'
'-x+1/2,-y,-z+1/2'
'-x+3/4,-y+1/4,z+1/2'
'x+3/4,y+1/4,-z+1/2'
'x+1/2,-y+1/4,-z+3/4'
'-x+1/2,y+1/4,z+3/4'
'-x+3/4,y,-z+3/4'
'x+3/4,-y,z+3/4'
'x+1/2,y+1/2,z'
'-x+1/2,-y+1/2,-z'
'-x+3/4,-y+3/4,z'
'x+3/4,y+3/4,-z'
'x+1/2,-y+3/4,-z+1/4'
'-x+1/2,y+3/4,z+1/4'
'-x+3/4,y+1/2,-z+1/4'
'x+3/4,-y+1/2,z+1/4'
loop_
_atom_site_label
_atom_site_type_symbol
_atom_site_fract_x
_atom_site_fract_y
_atom_site_fract_z
Pa1 Pa 0.000 0.000 0.000
Nb1 Nb 0.125 0.125 0.497
C1 C 0.125 0.299 0.625
```

- ΔE to the lowest computed polymorph: 0.168 eV per atom

The following is a GGA-PBE calculation of a relaxed structure of YCuPdRh2, from the Alexandria database.

```
data_YCuPdRh2
_chemical_formula_sum 'Y1 Cu1 Pd1 Rh2'
_symmetry_space_group_name_H-M 'P 4/m m m'
_symmetry_Int_Tables_number 123
_symmetry_space_group_name_Hall '-P 4 2'
_cell_length_a 4.823
_cell_length_b 4.823
_cell_length_c 4.900
_cell_angle_alpha 90.00
_cell_angle_beta 90.00
_cell_angle_gamma 90.00
loop_
_atom_site_label
_atom_site_type_symbol
_atom_site_fract_x
_atom_site_fract_y
_atom_site_fract_z
Y1 Y 0.000 0.000 0.000
Cu1 Cu 0.000 0.000 0.500
Pd1 Pd 0.500 0.500 0.500
Rh1 Rh 0.000 0.500 0.000
```

- E: -4.821 eV per atom

The following is a GGA-PBE calculation of a relaxed structure of MnW2Se, from the Alexandria database.

```
data_MnW2Se
_chemical_formula_sum 'Mn4 W8 Se4'
_symmetry_space_group_name_H-M 'F -4 3 m'
_symmetry_Int_Tables_number 216
_symmetry_space_group_name_Hall 'F -4 2 3'
_cell_length_a 6.254
_cell_length_b 6.254
_cell_length_c 6.254
_cell_angle_alpha 90.00
_cell_angle_beta 90.00
_cell_angle_gamma 90.00
loop_
_atom_site_label
_atom_site_type_symbol
_atom_site_fract_x
_atom_site_fract_y
_atom_site_fract_z
Mn1 Mn 0.000 0.000 0.000
W1 W 0.000 0.000 0.500
W2 W 0.250 0.250 0.250
Se1 Se 0.250 0.250 0.750
```

- E: -8.952 eV per atom

The following is a GGA-PBE calculation of a relaxed structure of Tm2Ge2Ir5, from the Alexandria database.

```
data_Tm2Ge2Ir5
_chemical_formula_sum 'Tm2 Ge2 Ir5'
_symmetry_space_group_name_H-M 'P 4/m m m'
_symmetry_Int_Tables_number 123
_symmetry_space_group_name_Hall '-P 4 2'
_cell_length_a 4.144
_cell_length_b 4.144
_cell_length_c 8.983
_cell_angle_alpha 90.00
_cell_angle_beta 90.00
_cell_angle_gamma 90.00
loop_
_atom_site_label
_atom_site_type_symbol
_atom_site_fract_x
_atom_site_fract_y
_atom_site_fract_z
Tm1 Tm 0.000 0.000 0.000
Tm2 Tm 0.000 0.000 0.500
Ge1 Ge 0.500 0.500 0.136
Ir1 Ir 0.000 0.500 0.277
Ir2 Ir 0.500 0.500 0.500
```

- E: -7.569 eV per atom

The following is a GGA-PBE calculation of a relaxed structure of LiAcPt4, from the Alexandria database.

```
data_LiAcPt4
_chemical_formula_sum 'Li4 Ac4 Pt16'
_symmetry_space_group_name_H-M 'F -4 3 m'
_symmetry_Int_Tables_number 216
_symmetry_space_group_name_Hall 'F -4 2 3'
_cell_length_a 7.754
_cell_length_b 7.754
_cell_length_c 7.754
_cell_angle_alpha 90.00
_cell_angle_beta 90.00
_cell_angle_gamma 90.00
loop_
_atom_site_label
_atom_site_type_symbol
_atom_site_fract_x
_atom_site_fract_y
_atom_site_fract_z
Li1 Li 0.000 0.000 0.000
Ac1 Ac 0.250 0.250 0.750
Pt1 Pt 0.126 0.126 0.374
```

- E: -5.886 eV per atom

The following is a GGA-PBE calculation of a relaxed structure of BiOsNF2, from the Alexandria database.

```
data_BiOsNF2
_chemical_formula_sum 'Bi1 Os1 N1 F2'
_symmetry_space_group_name_H-M 'P 4/m m m'
_symmetry_Int_Tables_number 123
_symmetry_space_group_name_Hall '-P 4 2'
_cell_length_a 4.482
_cell_length_b 4.482
_cell_length_c 3.755
_cell_angle_alpha 90.00
_cell_angle_beta 90.00
_cell_angle_gamma 90.00
loop_
_atom_site_label
_atom_site_type_symbol
_atom_site_fract_x
_atom_site_fract_y
_atom_site_fract_z
Bi1 Bi 0.000 0.000 0.000
Os1 Os 0.500 0.500 0.500
N1 N 0.500 0.500 0.000
F1 F 0.000 0.500 0.500
```

- ΔE to the lowest computed polymorph: 0.000 eV per atom

The following is a GGA-PBE calculation of a relaxed structure of NdSm2DyY5, from the Alexandria database.

```
data_NdSm2DyY5
_chemical_formula_sum 'Nd4 Sm8 Dy4 Y20'
_symmetry_space_group_name_H-M 'I 4/m c m'
_symmetry_Int_Tables_number 140
_symmetry_space_group_name_Hall '-I 4 2c'
_cell_length_a 8.660
_cell_length_b 8.660
_cell_length_c 15.729
_cell_angle_alpha 90.00
_cell_angle_beta 90.00
_cell_angle_gamma 90.00
loop_
_atom_site_label
_atom_site_type_symbol
_atom_site_fract_x
_atom_site_fract_y
_atom_site_fract_z
Nd1 Nd 0.000 0.500 0.250
Sm1 Sm 0.118 0.382 0.000
Dy1 Dy 0.000 0.000 0.250
Y1 Y 0.000 0.000 0.000
Y2 Y 0.207 0.293 0.362
```

- E: -5.430 eV per atom

The following is a GGA-PBE calculation of a relaxed structure of SiAs2H, from the Alexandria database.

```
data_SiAs2H
_chemical_formula_sum 'Si4 As8 H4'
_symmetry_space_group_name_H-M 'F m -3 m'
_symmetry_Int_Tables_number 225
_symmetry_space_group_name_Hall '-F 4 2 3'
_cell_length_a 6.131
_cell_length_b 6.131
_cell_length_c 6.131
_cell_angle_alpha 90.00
_cell_angle_beta 90.00
_cell_angle_gamma 90.00
loop_
_atom_site_label
_atom_site_type_symbol
_atom_site_fract_x
_atom_site_fract_y
_atom_site_fract_z
Si1 Si 0.000 0.000 0.000
As1 As 0.250 0.250 0.250
H1 H 0.000 0.000 0.500
```

- ΔE to the lowest computed polymorph: 0.247 eV per atom